# 1
The following is a DFT calculation (PBE) of LiScTe2 after structural relaxation.

Properties
Raw total energy ... -4.65 eV/atom
DOS(E_F) ... 0.056 states/eV/atom
Raw formation energy ... -4.07 eV/f.u.
Total magnetization ... 0.0 μB/cell

abc: 3.8016 3.9865 14.1145
angles: 90.00 90.00 90.00
With the nearest neighbours (Å) after each atom.
Space group Imm2 (No. 44)
Asymmetric unit:
Li1 0.0000 0.0000 0.0000 x2  6 Te 2.95-3.26
Sc1 0.0000 0.5000 0.7713 x2  6 Te 2.89-3.02
Te1 0.0000 0.0000 0.4251 x2  2 Sc 2.89, 4 Li 2.95
Te2 0.0000 0.5000 0.1831 x2  4 Sc 3.02, 2 Li 3.26

=====

# 2
The following is a DFT calculation (PBE) of LiSc3Te after structural relaxation.

Properties
Raw total energy ... -4.67 eV/atom
DOS(E_F) ... 1.251 states/eV/atom
Raw formation energy ... 0.71 eV/f.u.
ΔE to the lowest computed polymorph ... 0.0000 eV/atom
Total magnetization ... 0.0 μB/cell

abc: 4.8914 4.8914 4.8914
angles: 90.00 90.00 90.00
With the nearest neighbours (Å) after each atom.
Space group Pm-3m (No. 221)
Asymmetric unit:
Li1 0.0000 0.0000 0.0000 x1  6 Sc 2.45
Sc1 0.0000 0.0000 0.5000 x3  2 Li 2.45
Te1 0.5000 0.5000 0.5000 x1  12 Sc 3.46

=====

# 3
The following is a DFT calculation (PBE) of LiSc6Te8 after structural relaxation.

Properties
Raw total energy ... -5.48 eV/atom
DOS(E_F) ... 0.358 states/eV/atom
Raw formation energy ... -17.19 eV/f.u.
Total magnetization ... 0.0 μB/cell

abc: 11.7200 11.7200 11.7200
angles: 90.00 90.00 90.00
With the nearest neighbours (Å) after each atom.
Space group Fm-3m (No. 225)
Asymmetric unit:
Li1 0.0000 0.0000 0.0000 x4  6 Te 2.96
Sc1 0.0000 0.2500 0.2500 x24  6 Te 2.93
Te1 0.0000 0.0000 0.2523 x24  4 Sc 2.93, 1 Li 2.96
Te2 0.2500 0.2500 0.2500 x8  6 Sc 2.93

=====

# 4
The following is a DFT calculation (PBE) of LiSc5Te8 after structural relaxation.

Properties
Raw total energy ... -5.35 eV/atom
Raw formation energy ... -16.17 eV/f.u.
Total magnetization ... 0.0 μB/cell

abc: 12.1205 12.1205 12.1205
angles: 90.00 90.00 90.00
With the nearest neighbours (Å) after each atom.
Space group F-43m (No. 216)
Asymmetric unit:
Li1 0.0000 0.0000 0.0000 x4  4 Te 2.73
Sc1 0.1315 0.1315 0.3685 x16  6 Te 2.89-3.02
Sc2 0.2500 0.2500 0.7500 x4  4 Te 2.80
Te1 0.1165 0.1165 0.6165 x16  4 Sc 2.80-3.02
Te2 0.1301 0.1301 0.1301 x16  1 Li 2.73, 3 Sc 2.89

=====

# 5
The following is a DFT calculation (PBE) of LiScTe2 after structural relaxation.

Properties
Raw total energy ... -4.65 eV/atom
DOS(E_F) ... 0.000 states/eV/atom
Raw formation energy ... -4.06 eV/f.u.
Total magnetization ... 0.0 μB/cell

abc: 6.5490 6.5490 12.7647
angles: 90.00 90.00 90.00
With the nearest neighbours (Å) after each atom.
Space group I-42d (No. 122)
Asymmetric unit:
Li1 0.0000 0.0000 0.0000 x4  4 Te 2.82
Sc1 0.0000 0.0000 0.5000 x4  4 Te 2.80
Te1 0.2474 0.2500 0.6250 x8  2 Sc 2.80, 2 Li 2.82

=====

# 6
The following is a DFT calculation (PBE) of LiScTe2 after structural relaxation.

Properties
Raw total energy ... -4.43 eV/atom
DOS(E_F) ... 0.343 states/eV/atom
Raw formation energy ... -3.18 eV/f.u.
Total magnetization ... 0.0 μB/cell

abc: 7.7926 7.7367 3.6058
angles: 90.00 109.77 90.00
With the nearest neighbours (Å) after each atom.
Space group C2/m (No. 12)
Asymmetric unit:
Li1 0.0000 0.0000 0.0000 x2  4 Te 2.90
Sc1 0.0000 0.5000 0.0000 x2  4 Te 2.90
Te1 0.2500 0.2500 0.5000 x4  2 Li 2.90, 2 Sc 2.90